Record 1
Entry from Alexandria via LeMat-Bulk: HfTiCu4 after structural relaxation (PBE).

Energy of formation from the pure elements (eV per atom): -0.047
Magnetization (Bohr magnetons per cell): 2.0
Space-group type: F-43m
Excess energy over the best structure of this formula in the dataset (kJ/mol of formula units): 36
Uncorrected energy (Ry per atom): -0.423
Crystal system: cubic
DOS(E_F) (states/eV/cell): 10.88

Cell: 4.9677 4.9677 4.9677 Å, 60.00 60.00 60.00°
Closest atoms and distances in Å follow each position.
Element x y z (fractional)
Hf  0.0000  0.0000  0.0000  12 Cu 2.91, 4 Ti 3.04
Ti  0.2500  0.2500  0.2500  12 Cu 2.91, 4 Hf 3.04
Cu  0.1263  0.6246  0.6246  6 Cu 2.48-2.49
Cu  0.6246  0.1263  0.6246  6 Cu 2.48-2.49
Cu  0.6246  0.6246  0.1263  6 Cu 2.48-2.49
Cu  0.6246  0.6246  0.6246  6 Cu 2.48-2.49

***

Record 2
Entry from Alexandria via LeMat-Bulk: CaSm2Sn2 after structural relaxation (PBE).

Energy of formation from the pure elements (eV per atom): -0.697
Magnetization (Bohr magnetons per cell): 0.0
Space-group type: P4/mbm
Excess energy over the best structure of this formula in the dataset (kJ/mol of formula units): 0
Uncorrected energy (Ry per atom): -0.337
Crystal system: tetragonal
DOS(E_F) (states/eV/cell): 5.19

Cell: 8.1476 8.1476 4.5535 Å, 90.00 90.00 90.00°
Closest atoms and distances in Å follow each position.
Element x y z (fractional)
Ca  0.0000  0.0000  0.0000  4 Sn 3.22
Ca  0.5000  0.5000  0.0000  4 Sn 3.22
Sm  0.1747  0.3253  0.5000  6 Sn 3.24-3.37
Sm  0.3253  0.8253  0.5000  6 Sn 3.24-3.37
Sm  0.6747  0.1747  0.5000  6 Sn 3.24-3.37
Sm  0.8253  0.6747  0.5000  6 Sn 3.24-3.37
Sn  0.1256  0.6256  0.0000  1 Sn 2.90, 2 Ca 3.22, 2 Sm 3.24
Sn  0.3744  0.1256  0.0000  1 Sn 2.90, 2 Ca 3.22, 2 Sm 3.24
Sn  0.6256  0.8744  0.0000  1 Sn 2.90, 2 Ca 3.22, 2 Sm 3.24
Sn  0.8744  0.3744  0.0000  1 Sn 2.90, 2 Ca 3.22, 2 Sm 3.24

***

Record 3
Entry from Alexandria via LeMat-Bulk: ZnFeW after structural relaxation (PBE).

Energy of formation from the pure elements (eV per atom): 0.183
Magnetization (Bohr magnetons per cell): 0.1
Space-group type: I4mm
Excess energy over the best structure of this formula in the dataset (kJ/mol of formula units): 11
Uncorrected energy (Ry per atom): -0.542
Crystal system: tetragonal
DOS(E_F) (states/eV/cell): 1.82

Cell: 5.1845 5.1845 5.1845 Å, 147.24 147.24 47.00°
Closest atoms and distances in Å follow each position.
Element x y z (fractional)
Zn  0.0000  0.0000  0.0000  4 Fe 2.57, 4 W 2.77
Fe  0.6605  0.6605  0.0000  4 W 2.48, 4 Zn 2.57
W  0.3054  0.3054  0.0000  4 Fe 2.48, 4 Zn 2.77

***

Record 4
Entry from Alexandria via LeMat-Bulk: SiTeBr2 after structural relaxation (PBE).

Magnetization (Bohr magnetons per cell): 0.0
Space-group type: Cmmm
ΔE_f (raw) (eV/atom): 0.17
Excess energy over the best structure of this formula in the dataset (kJ/mol of formula units): 119
Uncorrected energy (Ry per atom): -0.206
Crystal system: orthorhombic
DOS(E_F) (states/eV/cell): 1.50

Cell: 3.3383 3.3383 12.2013 Å, 90.00 90.00 90.56°
Closest atoms and distances in Å follow each position.
Element x y z (fractional)
Si  0.0000  0.0000  0.0000  8 Br 2.90-2.92
Te  0.0000  0.0000  0.5000  4 Te 3.34
Br  0.5000  0.5000  0.1390  4 Si 2.90-2.92
Br  0.5000  0.5000  0.8610  4 Si 2.90-2.92

***

Record 5
Entry from Alexandria via LeMat-Bulk: CoTeAuN2 after structural relaxation (PBE).

Magnetization (Bohr magnetons per cell): 5.6
Space-group type: P4/mmm
ΔE_f (raw) (eV/atom): 1.85
Excess energy over the best structure of this formula in the dataset (kJ/mol of formula units): 376
Uncorrected energy (Ry per atom): -0.308
Crystal system: tetragonal
DOS(E_F) (states/eV/cell): 3.51

Cell: 3.9061 3.9061 7.6863 Å, 90.00 90.00 90.00°
Closest atoms and distances in Å follow each position.
Element x y z (fractional)
Co  0.0000  0.0000  0.0000  4 Te 2.76
Te  0.5000  0.5000  0.0000  4 Co 2.76
Au  0.5000  0.5000  0.5000  4 N 1.95
N  0.0000  0.5000  0.5000  2 Au 1.95
N  0.5000  0.0000  0.5000  2 Au 1.95

***

Record 6
Entry from Alexandria via LeMat-Bulk: Y2PtRh2 after structural relaxation (PBE).

Energy of formation from the pure elements (eV per atom): -0.855
Magnetization (Bohr magnetons per cell): 0.0
Space-group type: P4/mbm
Excess energy over the best structure of this formula in the dataset (kJ/mol of formula units): 0
Uncorrected energy (Ry per atom): -0.558
Crystal system: tetragonal
DOS(E_F) (states/eV/cell): 4.53

Cell: 7.1307 7.1307 3.9232 Å, 90.00 90.00 90.00°
Closest atoms and distances in Å follow each position.
Element x y z (fractional)
Y  0.1779  0.3221  0.0000  6 Rh 2.75-2.97
Y  0.3221  0.8221  0.0000  6 Rh 2.75-2.97
Y  0.6779  0.1779  0.0000  6 Rh 2.75-2.97
Y  0.8221  0.6779  0.0000  6 Rh 2.75-2.97
Pt  0.0000  0.0000  0.5000  4 Rh 2.79
Pt  0.5000  0.5000  0.5000  4 Rh 2.79
Rh  0.1307  0.6307  0.5000  1 Rh 2.64, 2 Y 2.75, 2 Pt 2.79
Rh  0.3693  0.1307  0.5000  1 Rh 2.64, 2 Y 2.75, 2 Pt 2.79
Rh  0.6307  0.8693  0.5000  1 Rh 2.64, 2 Y 2.75, 2 Pt 2.79
Rh  0.8693  0.3693  0.5000  1 Rh 2.64, 2 Y 2.75, 2 Pt 2.79

***

Record 7
Entry from Alexandria via LeMat-Bulk: Sc11In9Pt4 after structural relaxation (PBE).

Energy of formation from the pure elements (eV per atom): -0.765
Magnetization (Bohr magnetons per cell): 0.3
Space-group type: Cmmm
Uncorrected energy (Ry per atom): -0.419
Crystal system: orthorhombic
DOS(E_F) (states/eV/cell): 12.08

Cell: 12.7190 12.7190 3.3994 Å, 90.00 90.00 112.48°
Closest atoms and distances in Å follow each position.
Element x y z (fractional)
Sc  0.0000  0.0000  0.0000  8 In 3.05, 4 Sc 3.34-3.40
Sc  0.0716  0.4152  0.0000  2 Pt 2.70
Sc  0.1579  0.8421  0.0000  8 In 3.12-3.18, 5 Sc 3.34-3.45
Sc  0.3077  0.3077  0.0000  4 Pt 2.80
Sc  0.3708  0.6292  0.0000  4 Pt 2.80
Sc  0.4152  0.0716  0.0000  2 Pt 2.70
Sc  0.5848  0.9284  0.0000  2 Pt 2.70
Sc  0.6292  0.3708  0.0000  4 Pt 2.80
Sc  0.6923  0.6923  0.0000  4 Pt 2.80
Sc  0.8421  0.1579  0.0000  8 In 3.12-3.18, 5 Sc 3.34-3.45
Sc  0.9284  0.5848  0.0000  2 Pt 2.70
In  0.0690  0.2149  0.5000  1 Pt 2.98, 8 Sc 3.05-3.28, 1 In 3.09
In  0.1516  0.6338  0.5000  1 Pt 3.02, 1 In 3.03, 8 Sc 3.08-3.29
In  0.2149  0.0690  0.5000  1 Pt 2.98, 8 Sc 3.05-3.28, 1 In 3.09
In  0.3662  0.8484  0.5000  1 Pt 3.02, 1 In 3.03, 8 Sc 3.08-3.29
In  0.5000  0.5000  0.5000  4 Pt 3.03, 8 Sc 3.21-3.22
In  0.6338  0.1516  0.5000  1 Pt 3.02, 1 In 3.03, 8 Sc 3.08-3.29
In  0.7851  0.9310  0.5000  1 Pt 2.98, 8 Sc 3.05-3.28, 1 In 3.09
In  0.8484  0.3662  0.5000  1 Pt 3.02, 1 In 3.03, 8 Sc 3.08-3.29
In  0.9310  0.7851  0.5000  1 Pt 2.98, 8 Sc 3.05-3.28, 1 In 3.09
Pt  0.2468  0.4497  0.5000  6 Sc 2.70-2.80, 2 In 2.98-3.02
Pt  0.4497  0.2468  0.5000  6 Sc 2.70-2.80, 2 In 2.98-3.02
Pt  0.5503  0.7532  0.5000  6 Sc 2.70-2.80, 2 In 2.98-3.02
Pt  0.7532  0.5503  0.5000  6 Sc 2.70-2.80, 2 In 2.98-3.02

***

Record 8
Entry from Alexandria via LeMat-Bulk: TaHg2 after structural relaxation (PBE).

Energy of formation from the pure elements (eV per atom): 0.440
Magnetization (Bohr magnetons per cell): 0.0
Space-group type: P4/mmm
Uncorrected energy (Ry per atom): -0.273
Crystal system: tetragonal
DOS(E_F) (states/eV/cell): 2.31

Cell: 5.1808 5.1808 2.8094 Å, 90.00 90.00 90.00°
Closest atoms and distances in Å follow each position.
Element x y z (fractional)
Ta  0.0000  0.0000  0.0000  2 Ta 2.81, 8 Hg 2.95
Hg  0.0000  0.5000  0.5000  2 Hg 2.81, 4 Ta 2.95
Hg  0.5000  0.0000  0.5000  2 Hg 2.81, 4 Ta 2.95